# PBE with a Hubbard U CrFe2RhO6, relaxed
# Mass density: 5.83 g/cm³
# Uncorrected energy: -137.59 eV per cell
# M_tot: 12.99 μB/f.u.
# V: 10.3 A^3/atom
data_CrFe2RhO6
_chemical_formula_sum 'Cr2 Fe4 Rh2 O12'
_space_group_name_H-M_alt 'P 1 21/c 1'
_space_group_IT_number 14
_cell_length_a 5.174
_cell_length_b 5.305
_cell_length_c 9.103
_cell_angle_alpha 90.00
_cell_angle_beta 124.28
_cell_angle_gamma 90.00
loop_
_space_group_symop_operation_xyz
'x,y,z'
'-x,-y,-z'
'-x,y+1/2,-z+1/2'
'x,-y+1/2,z+1/2'
loop_
_atom_site_label
_atom_site_type_symbol
_atom_site_fract_x
_atom_site_fract_y
_atom_site_fract_z
Cr1 Cr 0.000 0.000 0.000
Fe1 Fe 0.218 0.056 0.723
Rh1 Rh 0.500 0.000 0.500
O1 O 0.113 0.171 0.456
O2 O 0.211 0.682 0.398
O3 O 0.396 0.084 0.251